AcLa2Ga: optimized geometry, PBE-GGA.

a b c (Å): 6.7104 6.7104 6.7104
angles (deg): 45.19 45.19 45.19
Last column: nearest neighbours and their distance in Å.
Sites, in units of the cell vectors:
1 Ac 0.0000 0.0000 0.0000  6 La 3.55
2 La 0.2258 0.2258 0.2258  3 Ga 3.16
3 La 0.7742 0.7742 0.7742  3 Ga 3.16
4 Ga 0.5000 0.5000 0.5000  6 La 3.16

Results
For the magnetization, the calculation gives 0.0000 μB/atom. For the density of states at the Fermi level, the calculation gives 3.0 states/eV/f.u. The total energy is -4.305 eV per atom. For the energy relative to the lowest polymorph listed for this composition, the calculation gives 201 meV/atom. Its space group is R-3m.